(1)
# MnBeNiRu GGA-PBE optimized geometry
# ΔE_f = -0.13 eV/atom
# E = -7.12 eV per atom
data_MnBeNiRu
_chemical_formula_sum 'Mn4 Be4 Ni4 Ru4'
_symmetry_space_group_name_H-M 'F -4 3 m'
_symmetry_Int_Tables_number 216
_symmetry_space_group_name_Hall 'F -4 2 3'
_cell_length_a 5.667
_cell_length_b 5.667
_cell_length_c 5.667
_cell_angle_alpha 90.00
_cell_angle_beta 90.00
_cell_angle_gamma 90.00
loop_
_atom_site_label
_atom_site_fract_x
_atom_site_fract_y
_atom_site_fract_z
Mn1 0.000 0.000 0.000
Be1 0.000 0.000 0.500
Ni1 0.250 0.250 0.250
Ru1 0.250 0.250 0.750



(2)
# Mn2BeNiS GGA-PBE optimized geometry
# formation energy from raw total energies = 0.8274 eV/atom
# E = -5.57 eV per atom
data_Mn2BeNiS
_chemical_formula_sum 'Mn2 Be1 Ni1 S1'
_symmetry_space_group_name_H-M 'P 4/m m m'
_symmetry_Int_Tables_number 123
_symmetry_space_group_name_Hall '-P 4 2'
_cell_length_a 4.615
_cell_length_b 4.615
_cell_length_c 4.033
_cell_angle_alpha 90.00
_cell_angle_beta 90.00
_cell_angle_gamma 90.00
loop_
_atom_site_label
_atom_site_fract_x
_atom_site_fract_y
_atom_site_fract_z
Mn1 0.000 0.500 0.000
Be1 0.000 0.000 0.500
Ni1 0.500 0.500 0.000
S1 0.500 0.500 0.500



(3)
# Mn2BeNiSb GGA-PBE optimized geometry
# formation energy from raw total energies = 0.4895 eV/atom
# E = -5.90 eV per atom
data_Mn2BeNiSb
_chemical_formula_sum 'Mn2 Be1 Ni1 Sb1'
_symmetry_space_group_name_H-M 'P 4/m m m'
_symmetry_Int_Tables_number 123
_symmetry_space_group_name_Hall '-P 4 2'
_cell_length_a 4.551
_cell_length_b 4.551
_cell_length_c 4.041
_cell_angle_alpha 90.00
_cell_angle_beta 90.00
_cell_angle_gamma 90.00
loop_
_atom_site_label
_atom_site_fract_x
_atom_site_fract_y
_atom_site_fract_z
Mn1 0.000 0.500 0.000
Be1 0.000 0.000 0.500
Ni1 0.000 0.000 0.000
Sb1 0.500 0.500 0.500



(4)
# Mn2BeSiNi GGA-PBE optimized geometry
# formation energy from raw total energies = 0.7173 eV/atom
# E = -5.94 eV per atom
data_Mn2BeSiNi
_chemical_formula_sum 'Mn2 Be1 Si1 Ni1'
_symmetry_space_group_name_H-M 'P 4/m m m'
_symmetry_Int_Tables_number 123
_symmetry_space_group_name_Hall '-P 4 2'
_cell_length_a 4.434
_cell_length_b 4.434
_cell_length_c 3.903
_cell_angle_alpha 90.00
_cell_angle_beta 90.00
_cell_angle_gamma 90.00
loop_
_atom_site_label
_atom_site_fract_x
_atom_site_fract_y
_atom_site_fract_z
Mn1 0.000 0.500 0.000
Be1 0.000 0.000 0.500
Si1 0.500 0.500 0.500
Ni1 0.000 0.000 0.000



(5)
# Mn2BeSiNi GGA-PBE optimized geometry
# formation energy from raw total energies = 0.5053 eV/atom
# E = -6.15 eV per atom
data_Mn2BeSiNi
_chemical_formula_sum 'Mn2 Be1 Si1 Ni1'
_symmetry_space_group_name_H-M 'P 4/m m m'
_symmetry_Int_Tables_number 123
_symmetry_space_group_name_Hall '-P 4 2'
_cell_length_a 3.960
_cell_length_b 3.960
_cell_length_c 3.923
_cell_angle_alpha 90.00
_cell_angle_beta 90.00
_cell_angle_gamma 90.00
loop_
_atom_site_label
_atom_site_fract_x
_atom_site_fract_y
_atom_site_fract_z
Mn1 0.000 0.500 0.000
Be1 0.000 0.000 0.000
Si1 0.000 0.000 0.500
Ni1 0.500 0.500 0.500



(6)
# Mn2Be2SiNi5 GGA-PBE optimized geometry
# formation energy from raw total energies = -0.2870 eV/atom
# E = -6.30 eV per atom
data_Mn2Be2SiNi5
_chemical_formula_sum 'Mn4 Be4 Si2 Ni10'
_symmetry_space_group_name_H-M 'P 4/m b m'
_symmetry_Int_Tables_number 127
_symmetry_space_group_name_Hall '-P 4 2ab'
_cell_length_a 8.266
_cell_length_b 8.266
_cell_length_c 3.181
_cell_angle_alpha 90.00
_cell_angle_beta 90.00
_cell_angle_gamma 90.00
loop_
_atom_site_label
_atom_site_fract_x
_atom_site_fract_y
_atom_site_fract_z
Mn1 0.174 0.326 0.000
Be1 0.121 0.621 0.000
Si1 0.000 0.000 0.000
Ni1 0.000 0.500 0.500
Ni2 0.069 0.794 0.500



(7)
# Sm2MnBe3Ni12 GGA-PBE optimized geometry
# ΔE_f = 0.25 eV/atom
# E = -5.26 eV per atom
data_Sm2MnBe3Ni12
_chemical_formula_sum 'Sm6 Mn3 Be9 Ni36'
_symmetry_space_group_name_H-M 'R -3 m'
_symmetry_Int_Tables_number 166
_symmetry_space_group_name_Hall '-R 3 2"'
_cell_length_a 7.5810
_cell_length_b 7.5810
_cell_length_c 15.2475
_cell_angle_alpha 90.00
_cell_angle_beta 90.00
_cell_angle_gamma 120.00
loop_
_atom_site_label
_atom_site_fract_x
_atom_site_fract_y
_atom_site_fract_z
Sm1 0.0000 0.0000 0.1066
Mn1 0.0000 0.0000 0.5000
Be1 0.0000 0.5000 0.0000
Ni1 0.0088 0.5044 0.8680
Ni2 0.0498 0.5249 0.3639



(8)
# MnBeTc2Ni GGA-PBE optimized geometry
# ΔE_f = 1.37 eV/atom
# E = -6.51 eV per atom
data_MnBeTc2Ni
_chemical_formula_sum 'Mn1 Be1 Tc2 Ni1'
_symmetry_space_group_name_H-M 'P 4/m m m'
_symmetry_Int_Tables_number 123
_symmetry_space_group_name_Hall '-P 4 2'
_cell_length_a 4.343
_cell_length_b 4.343
_cell_length_c 4.224
_cell_angle_alpha 90.00
_cell_angle_beta 90.00
_cell_angle_gamma 90.00
loop_
_atom_site_label
_atom_site_fract_x
_atom_site_fract_y
_atom_site_fract_z
Mn1 0.000 0.000 0.000
Be1 0.500 0.500 0.500
Tc1 0.000 0.500 0.000
Ni1 0.000 0.000 0.500



(9)
# MnBeTcNi GGA-PBE optimized geometry
# ΔE_f = -0.13 eV/atom
# E = -7.39 eV per atom
data_MnBeTcNi
_chemical_formula_sum 'Mn4 Be4 Tc4 Ni4'
_symmetry_space_group_name_H-M 'F -4 3 m'
_symmetry_Int_Tables_number 216
_symmetry_space_group_name_Hall 'F -4 2 3'
_cell_length_a 5.669
_cell_length_b 5.669
_cell_length_c 5.669
_cell_angle_alpha 90.00
_cell_angle_beta 90.00
_cell_angle_gamma 90.00
loop_
_atom_site_label
_atom_site_fract_x
_atom_site_fract_y
_atom_site_fract_z
Mn1 0.000 0.000 0.000
Be1 0.000 0.000 0.500
Tc1 0.250 0.250 0.750
Ni1 0.250 0.250 0.250



(10)
# MnBe2NiW GGA-PBE optimized geometry
# ΔE_f = 0.87 eV/atom
# E = -6.20 eV per atom
data_MnBe2NiW
_chemical_formula_sum 'Mn1 Be2 Ni1 W1'
_symmetry_space_group_name_H-M 'P 4/m m m'
_symmetry_Int_Tables_number 123
_symmetry_space_group_name_Hall '-P 4 2'
_cell_length_a 3.785
_cell_length_b 3.785
_cell_length_c 4.262
_cell_angle_alpha 90.00
_cell_angle_beta 90.00
_cell_angle_gamma 90.00
loop_
_atom_site_label
_atom_site_fract_x
_atom_site_fract_y
_atom_site_fract_z
Mn1 0.000 0.000 0.000
Be1 0.000 0.500 0.500
Ni1 0.000 0.000 0.500
W1 0.500 0.500 0.000



(11)
# ZrMnBeNi2 GGA-PBE optimized geometry
# ΔE_f = 0.48 eV/atom
# E = -6.12 eV per atom
data_ZrMnBeNi2
_chemical_formula_sum 'Zr1 Mn1 Be1 Ni2'
_symmetry_space_group_name_H-M 'P 4/m m m'
_symmetry_Int_Tables_number 123
_symmetry_space_group_name_Hall '-P 4 2'
_cell_length_a 4.247
_cell_length_b 4.247
_cell_length_c 4.011
_cell_angle_alpha 90.00
_cell_angle_beta 90.00
_cell_angle_gamma 90.00
loop_
_atom_site_label
_atom_site_fract_x
_atom_site_fract_y
_atom_site_fract_z
Zr1 0.000 0.000 0.000
Mn1 0.500 0.500 0.500
Be1 0.500 0.500 0.000
Ni1 0.000 0.500 0.500



(12)
# NpMn2Be GGA-PBE optimized geometry
# ΔE_f = 0.06 eV/atom
# E = -8.69 eV per atom
data_NpMn2Be
_chemical_formula_sum 'Np1 Mn2 Be1'
_symmetry_space_group_name_H-M 'P 4/m m m'
_symmetry_Int_Tables_number 123
_symmetry_space_group_name_Hall '-P 4 2'
_cell_length_a 3.943
_cell_length_b 3.943
_cell_length_c 3.340
_cell_angle_alpha 90.00
_cell_angle_beta 90.00
_cell_angle_gamma 90.00
loop_
_atom_site_label
_atom_site_fract_x
_atom_site_fract_y
_atom_site_fract_z
Np1 0.000 0.000 0.000
Mn1 0.000 0.500 0.500
Be1 0.500 0.500 0.000



(13)
# Np2MnBe4Si3 GGA-PBE optimized geometry
# formation energy from raw total energies = -0.1307 eV/atom
# E = -6.75 eV per atom
data_Np2MnBe4Si3
_chemical_formula_sum 'Np2 Mn1 Be4 Si3'
_symmetry_space_group_name_H-M 'P -4 m 2'
_symmetry_Int_Tables_number 115
_cell_length_a 3.775
_cell_length_b 3.775
_cell_length_c 9.770
_cell_angle_alpha 90.00
_cell_angle_beta 90.00
_cell_angle_gamma 90.00
loop_
_symmetry_equiv_pos_as_xyz
'x,y,z'
'y,-x,-z'
'-x,-y,z'
'-y,x,-z'
'-x,y,z'
'-y,-x,-z'
'x,-y,z'
'y,x,-z'
loop_
_atom_site_label
_atom_site_fract_x
_atom_site_fract_y
_atom_site_fract_z
Np1 0.000 0.500 0.248
Mn1 0.000 0.000 0.500
Be1 0.000 0.000 0.000
Be2 0.000 0.500 0.635
Be3 0.500 0.500 0.000
Si1 0.000 0.500 0.867
Si2 0.500 0.500 0.500